PBE FeAsRu2, optimized geometry; size of the total moment = 2.6 μB per formula unit; SG = No. 10; VASP energy = -31.24 eV for the cell shown
1.0
2.834 0.000 0.000
0.000 3.884 0.000
-1.204 0.000 5.098
Fe As Ru
1 1 2
Cartesian
0.000 0.000 0.000
-0.602 0.000 2.549
0.157 1.942 3.802
1.473 1.942 1.296